Record 1
ZrBe2Pt: relaxed, PBE.

Properties
density of states at the Fermi level: 2.3 states/eV/f.u.
polymorph energy (0 for the lowest one): 0.201 eV/atom
energy of formation: -153 kJ/mol of formula units

Structure (CIF):
```
data_ZrBe2Pt
_chemical_formula_sum 'Zr1 Be2 Pt1'
_cell_length_a 2.9004
_cell_length_b 2.9004
_cell_length_c 6.4415
_cell_angle_alpha 90.00
_cell_angle_beta 90.00
_cell_angle_gamma 90.00
_symmetry_space_group_name_H-M 'P 4 m m'
_symmetry_Int_Tables_number 99
loop_
_symmetry_equiv_pos_as_xyz
'x,y,z'
'-y,x,z'
'-x,-y,z'
'y,-x,z'
'-x,y,z'
'y,x,z'
'x,-y,z'
'-y,-x,z'
loop_
_atom_site_label
_atom_site_fract_x
_atom_site_fract_y
_atom_site_fract_z
Zr1 0.0000 0.0000 0.0000
Be1 0.0000 0.0000 0.4657
Be2 0.5000 0.5000 0.2904
Pt1 0.5000 0.5000 0.6667
```

---

Record 2
Pa2CrFeN5: relaxed, PBE.

Properties
density of states at the Fermi level: 3.6 states/eV/f.u.
uncorrected formation energy: -8.95 eV/f.u.

Structure (CIF):
```
data_Pa2CrFeN5
_chemical_formula_sum 'Pa8 Cr4 Fe4 N20'
_cell_length_a 3.2302
_cell_length_b 12.7487
_cell_length_c 9.8390
_cell_angle_alpha 90.00
_cell_angle_beta 90.00
_cell_angle_gamma 90.00
_symmetry_space_group_name_H-M 'C m c 21'
_symmetry_Int_Tables_number 36
loop_
_symmetry_equiv_pos_as_xyz
'x,y,z'
'-x,-y,z+1/2'
'-x,y,z'
'x,-y,z+1/2'
'x+1/2,y+1/2,z'
'-x+1/2,-y+1/2,z+1/2'
'-x+1/2,y+1/2,z'
'x+1/2,-y+1/2,z+1/2'
loop_
_atom_site_label
_atom_site_fract_x
_atom_site_fract_y
_atom_site_fract_z
Pa1 0.0000 0.1051 0.0000
Pa2 0.0000 0.1471 0.6325
Cr1 0.0000 0.1982 0.3365
Fe1 0.0000 0.4629 0.7766
N1 0.0000 0.0558 0.3798
N2 0.0000 0.2827 0.9798
N3 0.0000 0.3220 0.6989
N4 0.0000 0.3683 0.3216
N5 0.0000 0.4885 0.0953
```

---

Record 3
CaTl2NiBi: relaxed, PBE.

Properties
density of states at the Fermi level: 4.2 states/eV/f.u.
polymorph energy (0 for the lowest one): 0.000 eV/atom
energy of formation: -64 kJ/mol of formula units

Structure (CIF):
```
data_CaTl2NiBi
_chemical_formula_sum 'Ca1 Tl2 Ni1 Bi1'
_cell_length_a 5.0364
_cell_length_b 5.0364
_cell_length_c 5.5398
_cell_angle_alpha 90.00
_cell_angle_beta 90.00
_cell_angle_gamma 90.00
_symmetry_space_group_name_H-M 'P 4/m m m'
_symmetry_Int_Tables_number 123
_symmetry_space_group_name_Hall '-P 4 2'
loop_
_atom_site_label
_atom_site_fract_x
_atom_site_fract_y
_atom_site_fract_z
Ca1 0.0000 0.0000 0.0000
Tl1 0.0000 0.5000 0.5000
Ni1 0.0000 0.0000 0.5000
Bi1 0.5000 0.5000 0.0000
```

---

Record 4
Pr2Nd5Mg: relaxed, PBE.

Properties
density of states at the Fermi level: 7.2 states/eV/f.u.
polymorph energy (0 for the lowest one): 0.000 eV/atom
energy of formation: -5 kJ/mol of formula units

Structure (CIF):
```
data_Pr2Nd5Mg
_chemical_formula_sum 'Pr4 Nd10 Mg2'
_cell_length_a 7.2473
_cell_length_b 7.2473
_cell_length_c 10.2906
_cell_angle_alpha 90.00
_cell_angle_beta 90.00
_cell_angle_gamma 90.00
_symmetry_space_group_name_H-M 'I 4 m m'
_symmetry_Int_Tables_number 107
_symmetry_space_group_name_Hall 'I 4 -2'
loop_
_atom_site_label
_atom_site_fract_x
_atom_site_fract_y
_atom_site_fract_z
Pr1 0.0000 0.5000 0.0000
Nd1 0.0000 0.0000 0.0002
Nd2 0.2501 0.2501 0.2500
Mg1 0.0000 0.0000 0.4997
```

---

Number 1: uncorrected energy -23.63 eV/cell. Number 2: uncorrected energy -350.62 eV/cell. Number 3: uncorrected energy -17.06 eV/cell. Number 4: uncorrected energy -70.08 eV/cell.